First-principles (PBE) data for an optimized crystal structure of Sm4Dy5Al, as listed in Alexandria.

Space group: I4mm (107)
V: 32.36 A^3/atom
Magnetic moment: 0.000 μB/atom
Final energy: -4.47 eV/atom
Calculated formation energy: 0.09 eV per atom
Polymorph energy (0 for the lowest one): 0.154 eV per atom

Lattice parameters (Å, degrees): 8.054 8.054 8.054 97.21 97.21 138.51
Sites, in units of the cell vectors:
Sm  0.000  0.311  0.311
Sm  0.000  0.689  0.689
Sm  0.311  0.000  0.311
Sm  0.689  0.000  0.689
Dy  0.310  0.310  0.635
Dy  0.310  0.675  0.000
Dy  0.675  0.310  0.000
Dy  0.675  0.675  0.365
Dy  0.801  0.801  0.000
Al  0.285  0.285  0.000

First-principles (PBE) data for an optimized crystal structure of Ta2Pd3Rh, as listed in Alexandria.

Space group: C2/m (12)
V: 16.02 A^3/atom
Magnetic moment: 0.000 μB/atom
Final energy: -8.15 eV/atom
Calculated formation energy: -0.38 eV per atom

Lattice parameters (Å, degrees): 6.372 6.372 9.139 115.58 115.58 35.53
Sites, in units of the cell vectors:
Ta  0.028  0.028  0.358
Ta  0.282  0.282  0.635
Ta  0.718  0.718  0.365
Ta  0.972  0.972  0.642
Pd  0.128  0.128  0.133
Pd  0.209  0.209  0.877
Pd  0.464  0.464  0.135
Pd  0.536  0.536  0.865
Pd  0.791  0.791  0.123
Pd  0.872  0.872  0.867
Rh  0.378  0.378  0.382
Rh  0.622  0.622  0.618

First-principles (PBE) data for an optimized crystal structure of CdHRh3, as listed in Alexandria.

Space group: R-3 (148)
V: 13.74 A^3/atom
Magnetic moment: 0.002 μB/atom
Final energy: -5.22 eV/atom
Polymorph energy (0 for the lowest one): 0.069 eV per atom

Lattice parameters (Å, degrees): 7.434 7.434 7.434 37.63 37.63 37.63
Sites, in units of the cell vectors:
Cd  0.167  0.167  0.167
Cd  0.833  0.833  0.833
H  0.430  0.430  0.430
H  0.570  0.570  0.570
Rh  0.052  0.386  0.720
Rh  0.280  0.948  0.614
Rh  0.386  0.720  0.052
Rh  0.614  0.280  0.948
Rh  0.720  0.052  0.386
Rh  0.948  0.614  0.280

First-principles (PBE) data for an optimized crystal structure of ScAs2Os, as listed in Alexandria.

Space group: Immm (71)
V: 18.03 A^3/atom
Magnetic moment: 0.000 μB/atom
Final energy: -6.85 eV/atom
Calculated formation energy: -0.14 eV per atom
Polymorph energy (0 for the lowest one): 0.279 eV per atom

Lattice parameters (Å, degrees): 5.469 5.469 5.469 147.34 124.21 66.17
Sites, in units of the cell vectors:
Sc  0.000  0.000  0.000
As  0.286  0.786  0.500
As  0.714  0.214  0.500
Os  0.500  0.500  0.000

First-principles (PBE) data for an optimized crystal structure of Ac7GaPb4, as listed in Alexandria.

Space group: C2/m (12)
V: 40.88 A^3/atom
Magnetic moment: 0.000 μB/atom
Final energy: -4.16 eV/atom
Calculated formation energy: -0.27 eV per atom

Lattice parameters (Å, degrees): 8.954 8.954 12.147 124.17 124.17 38.84
Sites, in units of the cell vectors:
Ac  0.000  0.000  0.000
Ac  0.147  0.147  0.563
Ac  0.291  0.291  0.133
Ac  0.423  0.423  0.694
Ac  0.577  0.577  0.306
Ac  0.709  0.709  0.867
Ac  0.853  0.853  0.437
Ga  0.500  0.500  0.000
Pb  0.079  0.079  0.780
Pb  0.219  0.219  0.340
Pb  0.781  0.781  0.660
Pb  0.921  0.921  0.220

First-principles (PBE) data for an optimized crystal structure of HfScGa4, as listed in Alexandria.

Space group: Immm (71)
V: 17.54 A^3/atom
Magnetic moment: 0.000 μB/atom
Final energy: -5.17 eV/atom
Calculated formation energy: -0.44 eV per atom
Polymorph energy (0 for the lowest one): 0.000 eV per atom

Lattice parameters (Å, degrees): 5.405 5.405 5.405 132.50 106.98 91.86
Sites, in units of the cell vectors:
Hf  0.000  0.000  0.000
Sc  0.500  0.000  0.500
Ga  0.087  0.334  0.753
Ga  0.419  0.666  0.753
Ga  0.581  0.334  0.247
Ga  0.913  0.666  0.247

First-principles (PBE) data for an optimized crystal structure of KZn2P, as listed in Alexandria.

Space group: R-3m (166)
V: 24.96 A^3/atom
Magnetic moment: 0.000 μB/atom
Final energy: -2.26 eV/atom
Calculated formation energy: 0.00 eV per atom

Lattice parameters (Å, degrees): 7.222 7.222 7.222 33.07 33.07 33.07
Sites, in units of the cell vectors:
K  0.000  0.000  0.000
Zn  0.211  0.211  0.211
Zn  0.789  0.789  0.789
P  0.500  0.500  0.500

First-principles (PBE) data for an optimized crystal structure of Mg2BeB, as listed in Alexandria.

Space group: P1 (1)
V: 14.26 A^3/atom
Magnetic moment: 0.000 μB/atom
Final energy: -3.30 eV/atom
Calculated formation energy: 0.10 eV per atom
Polymorph energy (0 for the lowest one): 0.000 eV per atom

Lattice parameters (Å, degrees): 3.224 5.098 7.495 81.24 78.43 71.78
Sites, in units of the cell vectors:
Mg  0.000  0.000  0.000
Mg  0.011  0.364  0.591
Mg  0.204  0.423  0.185
Mg  0.369  0.849  0.403
Be  0.663  0.926  0.733
Be  0.782  0.537  0.897
B  0.280  0.665  0.766
B  0.422  0.316  0.833

First-principles (PBE) data for an optimized crystal structure of InC3, as listed in Alexandria.

Space group: P-4m2 (115)
V: 10.02 A^3/atom
Magnetic moment: 0.066 μB/atom
Final energy: -6.19 eV/atom
Calculated formation energy: 1.41 eV per atom
Polymorph energy (0 for the lowest one): 0.513 eV per atom

Lattice parameters (Å, degrees): 2.794 2.794 5.134 90.00 90.00 90.00
Sites, in units of the cell vectors:
In  0.000  0.000  0.000
C  0.000  0.500  0.340
C  0.500  0.000  0.660
C  0.500  0.500  0.500

First-principles (PBE) data for an optimized crystal structure of Pa6AlN12, as listed in Alexandria.

Space group: R-3 (148)
V: 14.09 A^3/atom
Magnetic moment: 0.000 μB/atom
Final energy: -9.80 eV/atom
Energy relative to the elements, uncorrected: -1343 meV per atom

Lattice parameters (Å, degrees): 6.542 6.542 6.542 99.23 99.23 99.23
Sites, in units of the cell vectors:
Pa  0.098  0.789  0.636
Pa  0.211  0.364  0.902
Pa  0.364  0.902  0.211
Pa  0.636  0.098  0.789
Pa  0.789  0.636  0.098
Pa  0.902  0.211  0.364
Al  0.500  0.500  0.500
N  0.062  0.904  0.324
N  0.096  0.676  0.938
N  0.192  0.439  0.561
N  0.324  0.062  0.904
N  0.439  0.561  0.192
N  0.439  0.808  0.561
N  0.561  0.192  0.439
N  0.561  0.439  0.808
N  0.676  0.938  0.096
N  0.808  0.561  0.439
N  0.904  0.324  0.062
N  0.938  0.096  0.676

First-principles (PBE) data for an optimized crystal structure of Mn5H2Pd12, as listed in Alexandria.

Space group: C2/m (12)
V: 14.48 A^3/atom
Magnetic moment: 1.196 μB/atom
Final energy: -6.10 eV/atom

Lattice parameters (Å, degrees): 7.565 7.565 7.073 97.96 97.96 43.41
Sites, in units of the cell vectors:
Mn  0.000  0.000  0.000
Mn  0.230  0.230  0.734
Mn  0.287  0.287  0.271
Mn  0.713  0.713  0.729
Mn  0.770  0.770  0.266
H  0.226  0.774  0.500
H  0.774  0.226  0.500
Pd  0.045  0.045  0.680
Pd  0.099  0.596  0.988
Pd  0.102  0.609  0.580
Pd  0.391  0.898  0.420
Pd  0.404  0.901  0.012
Pd  0.499  0.499  0.196
Pd  0.501  0.501  0.804
Pd  0.596  0.099  0.988
Pd  0.609  0.102  0.580
Pd  0.898  0.391  0.420
Pd  0.901  0.404  0.012
Pd  0.955  0.955  0.320

First-principles (PBE) data for an optimized crystal structure of InAsAuBr2, as listed in Alexandria.

Space group: P4/mmm (123)
V: 31.18 A^3/atom
Magnetic moment: 0.356 μB/atom
Final energy: -2.67 eV/atom
Energy relative to the elements, uncorrected: 128 meV per atom
Polymorph energy (0 for the lowest one): 0.000 eV per atom

Lattice parameters (Å, degrees): 5.577 5.577 5.012 90.00 90.00 90.00
Sites, in units of the cell vectors:
In  0.000  0.000  0.000
As  0.500  0.500  0.000
Au  0.500  0.500  0.500
Br  0.000  0.500  0.500
Br  0.500  0.000  0.500

First-principles (PBE) data for an optimized crystal structure of K3Y2USe6, as listed in Alexandria.

Space group: C2/m (12)
V: 29.91 A^3/atom
Magnetic moment: 0.251 μB/atom
Final energy: -5.61 eV/atom
Energy relative to the elements, uncorrected: -1575 meV per atom

Lattice parameters (Å, degrees): 7.334 7.334 8.084 98.70 98.70 120.00
Sites, in units of the cell vectors:
K  0.000  0.000  0.000
K  0.333  0.667  0.000
K  0.667  0.333  0.000
Y  0.167  0.833  0.500
Y  0.833  0.167  0.500
U  0.500  0.500  0.500
Se  0.095  0.431  0.293
Se  0.233  0.233  0.707
Se  0.431  0.095  0.293
Se  0.569  0.905  0.707
Se  0.767  0.767  0.293
Se  0.905  0.569  0.707

First-principles (PBE) data for an optimized crystal structure of KMnSb2, as listed in Alexandria.

Space group: I-4m2 (119)
V: 26.50 A^3/atom
Magnetic moment: 1.007 μB/atom
Final energy: -4.32 eV/atom
Energy relative to the elements, uncorrected: 310 meV per atom
Polymorph energy (0 for the lowest one): 0.464 eV per atom

Lattice parameters (Å, degrees): 6.070 6.070 6.070 136.13 136.13 63.78
Sites, in units of the cell vectors:
K  0.000  0.000  0.000
Mn  0.250  0.750  0.500
Sb  0.500  0.500  0.000
Sb  0.750  0.250  0.500

First-principles (PBE) data for an optimized crystal structure of Zr4TcO, as listed in Alexandria.

Space group: P2_1/c (14)
V: 18.76 A^3/atom
Magnetic moment: 0.000 μB/atom
Final energy: -9.13 eV/atom
Energy relative to the elements, uncorrected: -877 meV per atom

Lattice parameters (Å, degrees): 5.964 5.955 6.450 90.00 100.60 90.00
Sites, in units of the cell vectors:
Zr  0.110  0.159  0.185
Zr  0.110  0.341  0.685
Zr  0.340  0.638  0.120
Zr  0.340  0.862  0.620
Zr  0.660  0.138  0.380
Zr  0.660  0.362  0.880
Zr  0.890  0.659  0.315
Zr  0.890  0.841  0.815
Tc  0.500  0.000  0.000
Tc  0.500  0.500  0.500
O  0.000  0.000  0.500
O  0.000  0.500  0.000

First-principles (PBE) data for an optimized crystal structure of CaHPb, as listed in Alexandria.

Space group: I4mm (107)
V: 21.82 A^3/atom
Magnetic moment: 0.000 μB/atom
Final energy: -3.27 eV/atom
Polymorph energy (0 for the lowest one): 0.217 eV per atom

Lattice parameters (Å, degrees): 6.589 6.589 6.589 151.39 151.39 40.90
Sites, in units of the cell vectors:
Ca  0.000  0.000  0.000
H  0.533  0.533  0.000
Pb  0.273  0.273  0.000

First-principles (PBE) data for an optimized crystal structure of SrYRh2, as listed in Alexandria.

Space group: P4/mmm (123)
V: 21.98 A^3/atom
Magnetic moment: 0.000 μB/atom
Final energy: -6.22 eV/atom
Calculated formation energy: -0.50 eV per atom

Lattice parameters (Å, degrees): 3.487 3.487 7.231 90.00 90.00 90.00
Sites, in units of the cell vectors:
Sr  0.000  0.000  0.000
Y  0.000  0.000  0.500
Rh  0.500  0.500  0.282
Rh  0.500  0.500  0.718

First-principles (PBE) data for an optimized crystal structure of La2HfCd2, as listed in Alexandria.

Space group: P4/mbm (127)
V: 28.92 A^3/atom
Magnetic moment: 0.000 μB/atom
Final energy: -4.25 eV/atom
Calculated formation energy: 0.08 eV per atom

Lattice parameters (Å, degrees): 8.875 8.875 3.672 90.00 90.00 90.00
Sites, in units of the cell vectors:
La  0.182  0.318  0.000
La  0.318  0.818  0.000
La  0.682  0.182  0.000
La  0.818  0.682  0.000
Hf  0.000  0.000  0.500
Hf  0.500  0.500  0.500
Cd  0.118  0.618  0.500
Cd  0.382  0.118  0.500
Cd  0.618  0.882  0.500
Cd  0.882  0.382  0.500

First-principles (PBE) data for an optimized crystal structure of K2CaAg, as listed in Alexandria.

Space group: Pm (6)
V: 44.17 A^3/atom
Magnetic moment: 0.000 μB/atom
Final energy: -1.78 eV/atom
Calculated formation energy: -0.01 eV per atom
Polymorph energy (0 for the lowest one): 0.000 eV per atom

Lattice parameters (Å, degrees): 4.015 4.013 10.963 90.00 90.22 90.00
Sites, in units of the cell vectors:
K  0.000  0.000  0.000
K  0.497  0.500  0.646
Ca  0.497  0.500  0.300
Ag  0.997  0.000  0.428

First-principles (PBE) data for an optimized crystal structure of Hf2Ge4Os, as listed in Alexandria.

Space group: I4/mmm (139)
V: 21.92 A^3/atom
Magnetic moment: 0.000 μB/atom
Final energy: -6.76 eV/atom
Calculated formation energy: 0.33 eV per atom

Lattice parameters (Å, degrees): 7.403 7.403 7.403 141.89 141.89 54.99
Sites, in units of the cell vectors:
Hf  0.109  0.109  0.000
Hf  0.891  0.891  0.000
Ge  0.000  0.500  0.500
Ge  0.311  0.311  0.000
Ge  0.500  0.000  0.500
Ge  0.689  0.689  0.000
Os  0.500  0.500  0.000

First-principles (PBE) data for an optimized crystal structure of EuThCuAg, as listed in Alexandria.

Space group: F-43m (216)
V: 25.04 A^3/atom
Magnetic moment: 1.813 μB/atom
Final energy: -6.20 eV/atom
Calculated formation energy: -0.03 eV per atom

Lattice parameters (Å, degrees): 5.213 5.213 5.213 60.00 60.00 60.00
Sites, in units of the cell vectors:
Eu  0.000  0.000  0.000
Th  0.500  0.500  0.500
Cu  0.750  0.750  0.750
Ag  0.250  0.250  0.250

First-principles (PBE) data for an optimized crystal structure of La7Tb4Dy, as listed in Alexandria.

Space group: C2/m (12)
V: 35.59 A^3/atom
Magnetic moment: 0.000 μB/atom
Final energy: -4.59 eV/atom
Calculated formation energy: 0.21 eV per atom
Polymorph energy (0 for the lowest one): 0.193 eV per atom

Lattice parameters (Å, degrees): 8.767 8.767 9.630 116.24 116.24 40.88
Sites, in units of the cell vectors:
La  0.000  0.000  0.000
La  0.278  0.278  0.751
La  0.290  0.290  0.109
La  0.412  0.412  0.546
La  0.588  0.588  0.454
La  0.710  0.710  0.891
La  0.722  0.722  0.249
Tb  0.066  0.066  0.703
Tb  0.168  0.168  0.365
Tb  0.832  0.832  0.635
Tb  0.934  0.934  0.297
Dy  0.500  0.500  0.000

First-principles (PBE) data for an optimized crystal structure of TlAgPb, as listed in Alexandria.

Space group: Pm (6)
V: 26.52 A^3/atom
Magnetic moment: 0.000 μB/atom
Final energy: -2.90 eV/atom
Calculated formation energy: 0.07 eV per atom

Lattice parameters (Å, degrees): 3.535 4.758 9.600 90.00 99.78 90.00
Sites, in units of the cell vectors:
Tl  0.000  0.000  0.000
Tl  0.202  0.000  0.391
Ag  0.358  0.000  0.716
Ag  0.446  0.500  0.892
Pb  0.618  0.500  0.216
Pb  0.812  0.500  0.614

First-principles (PBE) data for an optimized crystal structure of LiPm2P4Ir3, as listed in Alexandria.

Space group: P-4m2 (115)
V: 16.88 A^3/atom
Magnetic moment: 0.000 μB/atom
Final energy: -6.96 eV/atom
Calculated formation energy: -0.99 eV per atom

Lattice parameters (Å, degrees): 4.217 4.217 9.490 90.00 90.00 90.00
Sites, in units of the cell vectors:
Li  0.000  0.000  0.000
Pm  0.000  0.500  0.744
Pm  0.500  0.000  0.256
P  0.000  0.000  0.500
P  0.000  0.500  0.136
P  0.500  0.000  0.864
P  0.500  0.500  0.500
Ir  0.000  0.500  0.389
Ir  0.500  0.000  0.611
Ir  0.500  0.500  0.000